Record 1
Compound: MnNiPt4
Source: Alexandria
Functional: GGA-PBE
Structure: optimized geometry

Cell: 8.756 2.733 7.501 Å, 90.00 90.00 90.00°
Space group Pmma (No. 51)
Symmetry-distinct sites (fractional):
Mn: 0.250 0.000 0.191 (multiplicity 2)
Ni: 0.250 0.000 0.528 (multiplicity 2)
Pt: 0.000 0.000 0.000 (multiplicity 2)
Pt: 0.020 0.500 0.329 (multiplicity 4)
Pt: 0.250 0.500 0.856 (multiplicity 2)

## Properties
E_form ... -0.09 eV per atom
V ... 15.0 Å³ per atom
E ... -6.609 eV/atom

=====

Record 2
Compound: MnNi2Pt2
Source: Alexandria
Functional: GGA-PBE
Structure: optimized geometry

Cell: 6.814 6.814 2.895 Å, 90.00 90.00 90.00°
Space group P4/mbm (No. 127)
Symmetry-distinct sites (fractional):
Mn: 0.000 0.000 0.000 (multiplicity 2)
Ni: 0.126 0.374 0.000 (multiplicity 4)
Pt: 0.173 0.673 0.500 (multiplicity 4)

## Properties
E_form ... 0.30 eV per atom
V ... 13.4 Å³ per atom
E ... -6.262 eV/atom

=====

Record 3
Compound: Mn2Ni3Pt2
Source: Alexandria
Functional: GGA-PBE
Structure: optimized geometry

Cell: 8.342 3.758 5.973 Å, 90.00 99.43 90.00°
Space group C2/m (No. 12)
Symmetry-distinct sites (fractional):
Mn: 0.205 0.000 0.155 (multiplicity 4)
Ni: 0.000 0.500 0.000 (multiplicity 2)
Ni: 0.139 0.500 0.430 (multiplicity 4)
Pt: 0.082 0.000 0.720 (multiplicity 4)

## Properties
E_form ... -0.19 eV per atom
V ... 13.2 Å³ per atom
E ... -7.009 eV/atom

=====

> Number 1 is which compound?

MnNiPt4